Entry 1:
First-principles (PBEsol) data for TlHg2Sb after structural relaxation, as listed in Alexandria. Values from VASP.

Summary:
Its symmetry is Pmm2 (25). Its total magnetic moment is 0.00 μB/cell. For the energy relative to the elements, uncorrected, the calculation gives 0.044 eV/atom. The total energy comes out at -2.0360 eV per atom. For the theoretical density, the calculation gives 11.270 Mg/m³.

The structure in Quantum ESPRESSO input format:
```
&SYSTEM
  ibrav = 0, nat = 4, ntyp = 3
/
ATOMIC_SPECIES
Sb 121.76 Sb.upf
Tl 204.38 Tl.upf
Hg 200.59 Hg.upf
ATOMIC_POSITIONS crystal
Sb 0.000 0.000 0.614
Tl 0.500 0.500 0.636
Hg 0.000 0.000 0.114
Hg 0.500 0.500 0.135
CELL_PARAMETERS angstrom
3.229 0.000 0.000
0.000 5.608 0.000
0.000 0.000 5.917
```

---

Entry 2:
First-principles (PBEsol) data for TlHg2Sb after structural relaxation, as listed in Alexandria. Values from VASP.

Summary:
Its symmetry is Pmmm (47). Its total magnetic moment is 0.00 μB/cell. For the energy relative to the elements, uncorrected, the calculation gives 0.017 eV/atom. The total energy comes out at -2.0636 eV per atom. For the theoretical density, the calculation gives 11.614 Mg/m³.

The structure in Quantum ESPRESSO input format:
```
&SYSTEM
  ibrav = 0, nat = 4, ntyp = 3
/
ATOMIC_SPECIES
Sb 121.76 Sb.upf
Tl 204.38 Tl.upf
Hg 200.59 Hg.upf
ATOMIC_POSITIONS crystal
Sb 0.500 0.500 0.000
Tl 0.000 0.500 0.500
Hg 0.500 0.000 0.741
Hg 0.500 0.000 0.259
CELL_PARAMETERS angstrom
-2.879 -1.186 -0.775
-0.927 -0.937 4.880
-2.576 5.837 0.631
```

---

Entry 3:
First-principles (PBEsol) data for TlHg2Sb after structural relaxation, as listed in Alexandria. Values from VASP.

Summary:
Its symmetry is F-43m (216). Its total magnetic moment is 0.00 μB/cell. For the energy relative to the elements, uncorrected, the calculation gives 0.054 eV/atom. The total energy comes out at -2.0267 eV per atom. For the theoretical density, the calculation gives 11.790 Mg/m³.

The structure in Quantum ESPRESSO input format:
```
&SYSTEM
  ibrav = 0, nat = 4, ntyp = 3
/
ATOMIC_SPECIES
Sb 121.76 Sb.upf
Tl 204.38 Tl.upf
Hg 200.59 Hg.upf
ATOMIC_POSITIONS crystal
Sb 0.500 0.500 0.500
Tl 0.250 0.250 0.250
Hg 0.000 0.000 0.000
Hg 0.750 0.750 0.750
CELL_PARAMETERS angstrom
-2.431 -4.637 0.414
2.482 -4.081 2.184
-1.497 -1.768 4.713
```